Record 1
A plane-wave DFT calculation with PBE was carried out for crystalline MnFe2AgBi at its relaxed geometry.

Structure (POSCAR):
```
MnFe2AgBi
1.0
4.761 0.000 0.000
0.000 4.761 0.000
0.000 0.000 4.871
Mn Bi Ag Fe
1 1 1 2
Direct
0.000 0.000 0.500
0.500 0.500 0.500
0.000 0.000 0.000
0.000 0.500 0.000
0.500 0.000 0.000
```

Computed properties:
formation energy from the elements = 1163.3 meV per atom
N(E_F) = 6.002 states/eV/cell
SG = P4/mmm
VASP energy = -27.0 eV for the cell shown



Record 2
A plane-wave DFT calculation with PBE was carried out for crystalline Ho2Co12P7 at its relaxed geometry.

Structure (POSCAR):
```
Ho2Co12P7
1.0
8.996 0.000 0.000
-4.498 7.791 0.000
0.000 0.000 3.580
Ho Co P
2 12 7
Direct
0.667 0.333 0.500
0.333 0.667 0.000
0.119 0.846 0.000
0.383 0.435 0.500
0.727 0.881 0.000
0.565 0.947 0.500
0.234 0.103 0.500
0.868 0.766 0.500
0.897 0.132 0.500
0.940 0.374 0.000
0.626 0.566 0.000
0.434 0.060 0.000
0.053 0.617 0.500
0.154 0.273 0.000
0.000 0.000 0.000
0.597 0.709 0.500
0.706 0.113 0.000
0.887 0.593 0.000
0.407 0.294 0.000
0.291 0.889 0.500
0.111 0.403 0.500
```

Computed properties:
formation energy from the elements = -804.4 meV per atom
N(E_F) = 12.136 states/eV/cell
SG = P-6
VASP energy = -149.2 eV for the cell shown



N(E_F) of number 2 (Ho2Co12P7)?
12.136 states/eV/cell



Look up the VASP energy of the second one.
-149.2 eV for the cell shown